Ca2ErSn3Pd4: optimized geometry, PBE.

Geometry as extended XYZ:
```
10
Lattice="4.554 0.000 0.000 0.000 4.554 0.000 0.000 0.000 11.290" Properties=species:S:1:pos:R:3 pbc="T T T"
Ca 2.277 0.000 2.537
Ca 0.000 2.277 8.753
Er 2.277 2.277 5.645
Sn 0.000 0.000 5.645
Sn 2.277 0.000 9.885
Sn 0.000 2.277 1.405
Pd 2.277 2.277 0.000
Pd 0.000 0.000 0.000
Pd 2.277 0.000 7.274
Pd 0.000 2.277 4.016
```

Values from the calculation:
* D(E_F): 5.251 states/eV/f.u.
* energy of formation: -7.5 eV/f.u.
* crystal system: tetragonal
* total magnetization: 0.000 Bohr magnetons per cell

CaErSnPd: optimized geometry, PBE.

Geometry as extended XYZ:
```
4
Lattice="-3.110 -2.565 3.206 -4.060 -2.569 -1.856 -0.011 -5.151 0.007" Properties=species:S:1:pos:R:3 pbc="T T T"
Ca 0.000 0.000 0.000
Sn -1.795 -2.571 0.339
Pd -5.386 -7.713 1.017
Er -3.591 -5.142 0.678
```

Values from the calculation:
* D(E_F): 2.256 states/eV/f.u.
* energy of formation: -2.8 eV/f.u.
* crystal system: cubic
* total magnetization: 0.000 Bohr magnetons per cell

CaErSn2Pd4: optimized geometry, PBE.

Geometry as extended XYZ:
```
8
Lattice="-3.015 1.035 3.547 -4.019 -2.513 0.523 1.439 -5.566 6.054" Properties=species:S:1:pos:R:3 pbc="T T T"
Ca 0.000 0.000 0.000
Er -2.797 -3.523 5.061
Sn -4.182 -5.302 7.609
Sn -1.412 -1.743 2.514
Pd -1.439 -5.344 6.748
Pd -5.595 -3.407 5.855
Pd 0.001 -3.638 4.268
Pd -4.156 -1.701 3.375
```

Values from the calculation:
* D(E_F): 3.817 states/eV/f.u.
* energy of formation: -6.4 eV/f.u.
* crystal system: trigonal
* total magnetization: 0.000 Bohr magnetons per cell

CaErTlPd: optimized geometry, PBE.

Geometry as extended XYZ:
```
4
Lattice="5.168 0.000 0.000 2.584 4.476 0.000 2.584 1.492 4.220" Properties=species:S:1:pos:R:3 pbc="T T T"
Tl 0.000 0.000 0.000
Ca 7.752 4.476 3.165
Pd 5.168 2.984 2.110
Er 2.584 1.492 1.055
```

Values from the calculation:
* D(E_F): 1.647 states/eV/f.u.
* energy of formation: -2.1 eV/f.u.
* crystal system: cubic
* total magnetization: 0.000 Bohr magnetons per cell

CaPm9Er2: optimized geometry, PBE.

Geometry as extended XYZ:
```
12
Lattice="5.145 0.000 0.000 0.000 5.145 0.000 0.000 0.000 15.455" Properties=species:S:1:pos:R:3 pbc="T T T"
Ca 0.000 0.000 0.000
Pm 2.573 2.573 0.000
Pm 2.573 2.573 5.176
Pm 2.573 2.573 10.279
Pm 2.573 0.000 2.677
Pm 2.573 0.000 7.727
Pm 2.573 0.000 12.778
Pm 0.000 2.573 2.677
Pm 0.000 2.573 7.727
Pm 0.000 2.573 12.778
Er 0.000 0.000 5.172
Er 0.000 0.000 10.283
```

Values from the calculation:
* D(E_F): 18.667 states/eV/f.u.
* energy of formation: 0.4 eV/f.u.
* crystal system: tetragonal
* total magnetization: 0.000 Bohr magnetons per cell

CaPm5Er3: optimized geometry, PBE.

Geometry as extended XYZ:
```
18
Lattice="-4.043 -2.650 8.746 11.943 -2.107 -0.827 -3.028 6.368 0.530" Properties=species:S:1:pos:R:3 pbc="T T T"
Ca -4.893 3.057 6.071
Ca -2.177 0.661 3.205
Pm -3.507 3.965 3.073
Pm 2.408 2.646 5.526
Pm 3.516 -0.284 -0.102
Pm 2.464 -1.035 2.923
Pm 4.033 -0.527 5.772
Pm -3.563 -0.247 6.203
Pm 6.479 1.138 -0.271
Pm -1.607 0.473 8.720
Pm 0.840 2.138 2.677
Pm 1.357 1.895 8.552
Er 0.000 0.000 0.000
Er 0.315 -0.332 5.755
Er -1.514 3.184 0.265
Er 4.557 1.943 2.694
Er -1.197 2.853 6.018
Er 6.070 -1.242 2.431
```

Values from the calculation:
* D(E_F): 13.977 states/eV/f.u.
* energy of formation: 0.7 eV/f.u.
* crystal system: orthorhombic
* total magnetization: 0.000 Bohr magnetons per cell

> Which of these has the lowest energy of formation?

Ca2ErSn3Pd4